{"formula": "ScSb4Te", "functional": "GGA-PBE", "state": "relaxed", "e_form_raw_ev_per_atom": 0.14, "dos_ef_per_ev_atom": 0.679, "space_group": "F-43m, No. 216", "vol_a3_per_atom": 28.3, "lattice": [[-6.0236, -0.4747, 1.4439], [-3.9228, 4.5795, -1.4949], [-4.2112, -0.8579, -4.4860]], "species": ["Sc", "Sb", "Sb", "Sb", "Sb", "Te"], "frac_coords": [[0.2500, 0.2500, 0.2500], [0.1223, 0.6259, 0.6259], [0.6259, 0.6259, 0.6259], [0.6259, 0.1223, 0.6259], [0.6259, 0.6259, 0.1223], [0.0000, 0.0000, 0.0000]]}